Compound: CrAsBr2
Source: Alexandria
Functional: GGA-PBE
Structure: optimized geometry

Lattice parameters (Å, degrees): 6.705 6.705 6.705 90.00 90.00 90.00
Space group Fm-3m (No. 225)
One atom of each set of equivalent atoms:
1 Cr 0.000 0.000 0.000 (multiplicity 4)
2 As 0.000 0.000 0.500 (multiplicity 4)
3 Br 0.250 0.250 0.250 (multiplicity 8)

Summary:
- ΔE_f (raw): 0.950 eV/atom
- Polymorph energy (0 for the lowest one): 4.468 eV/f.u.
- Magnetic moment: 0.000 Bohr magnetons per cell